Below is crystalline KCaIn2B at its relaxed geometry, with properties calculated at the PBE level.

Lattice parameters (Å, degrees): 6.120 6.120 4.899 90.00 90.00 90.00
Positions (direct):
K  0.000  0.000  0.000
Ca  0.500  0.500  0.500
In  0.000  0.500  0.500
In  0.500  0.000  0.500
B  0.500  0.500  0.000

As for the theoretical density: 2.892 g/cm3. The formation energy comes out at 0.890 eV per atom. As for the space group: P4/mmm.